Entry 1:
In3Hg after structural relaxation, computed with PBE-GGA.

Output
**E_tot**: -0.077 Ha/atom
**Size of the total moment**: 0.0 Bohr magnetons per cell
**Symmetry**: No. 63
**Formation enthalpy at 0 K**: 0.11 eV/f.u.

a b c (Å): 6.185 6.185 5.752
angles (deg): 90.00 90.00 83.65
Fractional coordinates of all 8 atoms:
In 0.647 0.903 0.250
In 0.097 0.353 0.250
In 0.847 0.153 0.750
In 0.353 0.097 0.750
In 0.153 0.847 0.250
In 0.903 0.647 0.750
Hg 0.594 0.406 0.250
Hg 0.406 0.594 0.750

=====

Entry 2:
NaBeSnSe3 after structural relaxation, computed with PBE-GGA.

Output
**E_tot**: -0.144 Ha/atom
**Size of the total moment**: 0.0 Bohr magnetons per cell
**E_form (uncorrected)**: -0.66 eV/atom
**Symmetry**: No. 11

a b c (Å): 3.822 8.416 9.773
angles (deg): 102.94 90.00 90.00
Fractional coordinates of all 12 atoms:
Se 0.750 0.420 0.151
Se 0.250 0.806 0.476
Se 0.250 0.083 0.821
Se 0.750 0.194 0.524
Se 0.250 0.580 0.849
Se 0.750 0.917 0.179
Be 0.750 0.926 0.409
Be 0.250 0.074 0.591
Na 0.250 0.211 0.272
Na 0.750 0.789 0.728
Sn 0.250 0.669 0.140
Sn 0.750 0.331 0.860

=====

Entry 3:
Li2YSiS4 after structural relaxation, computed with PBE-GGA.

Output
**E_tot**: -0.192 Ha/atom
**Size of the total moment**: 0.0 Bohr magnetons per cell
**E_form (uncorrected)**: -1.20 eV/atom
**Symmetry**: No. 74

a b c (Å): 7.497 7.497 7.654
angles (deg): 120.70 120.70 90.73
Fractional coordinates of all 16 atoms:
S 0.243 0.777 0.010
S 0.747 0.754 0.975
S 0.746 0.753 0.525
S 0.253 0.246 0.025
S 0.277 0.743 0.510
S 0.757 0.223 0.990
S 0.723 0.257 0.490
S 0.254 0.247 0.475
Li 0.500 0.000 0.000
Li 0.000 0.000 0.500
Li 0.500 0.500 0.000
Li 0.500 0.000 0.500
Y 0.000 0.500 0.000
Y 0.000 0.500 0.500
Si 0.000 0.000 0.000
Si 0.500 0.500 0.500

=====

Entry 4:
Cr2NiHW after structural relaxation, computed with PBE-GGA.

Output
**E_tot**: -0.301 Ha/atom
**Size of the total moment**: 0.0 Bohr magnetons per cell
**Symmetry**: No. 123

a b c (Å): 3.815 3.815 3.571
angles (deg): 90.00 90.00 90.00
Fractional coordinates of all 5 atoms:
Cr 0.500 0.000 0.000
Cr 0.000 0.500 0.000
Ni 0.000 0.000 0.500
H 0.000 0.000 0.000
W 0.500 0.500 0.500

=====

Entry 5:
Cs2Tl12In after structural relaxation, computed with PBE-GGA.

Output
**E_tot**: -0.080 Ha/atom
**Size of the total moment**: 0.0 Bohr magnetons per cell
**Symmetry**: No. 125
**Formation enthalpy at 0 K**: 0.01 eV/f.u.

a b c (Å): 7.454 7.454 19.643
angles (deg): 90.00 90.00 90.00
Fractional coordinates of all 30 atoms:
Tl 0.500 0.500 0.349
Tl 0.500 0.500 0.651
Tl 0.250 0.750 0.911
Tl 0.663 0.837 0.564
Tl 0.837 0.337 0.564
Tl 0.000 0.000 0.183
Tl 0.500 0.500 0.183
Tl 0.250 0.250 0.911
Tl 0.750 0.250 0.911
Tl 0.663 0.163 0.436
Tl 0.000 0.000 0.817
Tl 0.250 0.250 0.089
Tl 0.000 0.000 0.651
Tl 0.337 0.837 0.436
Tl 0.163 0.337 0.436
Tl 0.750 0.750 0.911
Tl 0.750 0.250 0.089
Tl 0.163 0.663 0.564
Tl 0.250 0.750 0.089
Tl 0.000 0.000 0.349
Tl 0.837 0.663 0.436
Tl 0.500 0.500 0.817
Tl 0.337 0.163 0.564
Tl 0.750 0.750 0.089
Cs 0.000 0.500 0.249
Cs 0.500 0.000 0.751
Cs 0.500 0.000 0.249
Cs 0.000 0.500 0.751
In 0.500 0.000 0.000
In 0.000 0.500 0.000

=====

Entry 6:
MnFe3Ir4 after structural relaxation, computed with PBE-GGA.

Output
**E_tot**: -0.323 Ha/atom
**Size of the total moment**: 14.9 Bohr magnetons per cell
**Symmetry**: No. 51
**Formation enthalpy at 0 K**: -0.41 eV/f.u.

a b c (Å): 4.518 5.383 8.545
angles (deg): 90.00 90.00 90.00
Fractional coordinates of all 16 atoms:
Ir 0.500 0.749 0.500
Ir 0.145 0.249 0.750
Ir 0.500 0.251 0.500
Ir 0.500 0.749 0.000
Ir 0.855 0.751 0.250
Ir 0.145 0.751 0.750
Ir 0.500 0.251 0.000
Ir 0.855 0.249 0.250
Fe 0.000 0.000 0.500
Fe 0.340 0.000 0.250
Fe 0.340 0.500 0.250
Fe 0.000 0.000 0.000
Fe 0.660 0.000 0.750
Fe 0.660 0.500 0.750
Mn 0.000 0.500 0.000
Mn 0.000 0.500 0.500

=====

Entry 7:
Zr2Tl3Te6Pd after structural relaxation, computed with PBE-GGA.

Output
**E_tot**: -0.167 Ha/atom
**Size of the total moment**: 0.0 Bohr magnetons per cell
**E_form (uncorrected)**: -0.52 eV/atom
**Symmetry**: No. 12

a b c (Å): 7.266 7.266 8.452
angles (deg): 98.03 98.03 120.16
Fractional coordinates of all 12 atoms:
Zr 0.335 0.665 0.000
Zr 0.665 0.335 0.000
Te 0.392 0.065 0.200
Te 0.743 0.743 0.202
Te 0.935 0.608 0.800
Te 0.065 0.392 0.200
Te 0.608 0.935 0.800
Te 0.257 0.257 0.798
Pd 0.000 0.000 0.000
Tl 0.825 0.175 0.500
Tl 0.175 0.825 0.500
Tl 0.500 0.500 0.500

=====

Entry 8:
Nd2HoThSb5 after structural relaxation, computed with PBE-GGA.

Output
**E_tot**: -0.183 Ha/atom
**Size of the total moment**: 0.0 Bohr magnetons per cell
**E_form (uncorrected)**: -0.28 eV/atom
**Symmetry**: No. 123

a b c (Å): 5.242 5.242 11.882
angles (deg): 90.00 90.00 90.00
Fractional coordinates of all 9 atoms:
Sb 0.000 0.000 0.751
Sb 0.500 0.500 0.000
Sb 0.000 0.000 0.249
Sb 0.500 0.000 0.500
Sb 0.000 0.500 0.500
Nd 0.500 0.500 0.714
Nd 0.500 0.500 0.286
Ho 0.000 0.000 0.500
Th 0.000 0.000 0.000